1.
Si3SbMo | PBE | relaxed

Output
Raw total energy: -5.57 eV per atom
ΔE to the lowest computed polymorph: 0.00 eV/f.u.
Uncorrected formation energy: 676 meV/atom
SG: No. 221

Cell lengths 4.8014, 4.8014, 4.8014 Å; angles 90.00, 90.00, 90.00 degrees
With the nearest neighbours (Å) after each atom.
Fractional coordinates of all 5 atoms:
Sb: 0.5000 0.5000 0.5000  12 Si 3.40
Mo: 0.0000 0.0000 0.0000  6 Si 2.40
Si: 0.0000 0.5000 0.0000  2 Mo 2.40
Si: 0.0000 0.0000 0.5000  2 Mo 2.40
Si: 0.5000 0.0000 0.0000  2 Mo 2.40

---

2.
La4BiRh | PBE | relaxed

Output
ΔE_f: -0.564 eV per atom
Raw total energy: -5.72 eV per atom
SG: No. 15

Cell lengths 6.2944, 7.9264, 8.8192 Å; angles 105.43, 110.89, 90.02 degrees
With the nearest neighbours (Å) after each atom.
Fractional coordinates of all 12 atoms:
La: 0.5391 0.0591 0.8380  1 Rh 2.81
La: 0.7010 0.4409 0.1621  1 Rh 2.81
La: 0.4609 0.9409 0.1620  1 Rh 2.81
La: 0.2990 0.5591 0.8379  1 Rh 2.81
La: 0.9272 0.8614 0.6434  2 Rh 2.89-2.92
La: 0.2838 0.6387 0.3566  2 Rh 2.89-2.92
La: 0.0728 0.1386 0.3566  2 Rh 2.89-2.92
La: 0.7162 0.3613 0.6434  2 Rh 2.89-2.92
Bi: 0.8758 0.7499 0.9999  10 La 3.50-3.60
Bi: 0.1242 0.2501 0.0001  10 La 3.50-3.60
Rh: 0.5000 0.0000 0.5000  6 La 2.81-2.92
Rh: 0.0000 0.5000 0.5000  6 La 2.81-2.92

---

3.
CrIrBr2 | PBE | relaxed

Output
Raw total energy: -5.25 eV per atom
ΔE to the lowest computed polymorph: 0.77 eV/f.u.
Uncorrected formation energy: 209 meV/atom
SG: No. 12

Cell lengths 7.3067, 7.3067, 4.3927 Å; angles 83.51, 83.51, 25.69 degrees
With the nearest neighbours (Å) after each atom.
Fractional coordinates of all 4 atoms:
Br: 0.1135 0.1135 0.9646  1 Ir 2.43, 2 Cr 2.62
Br: 0.3865 0.3865 0.5354  1 Ir 2.43, 2 Cr 2.62
Cr: 0.7500 0.7500 0.7500  4 Br 2.62, 4 Ir 2.73
Ir: 0.2500 0.2500 0.2500  2 Br 2.43

---

Number 1: total magnetization 0.0 Bohr magnetons per cell. Number 2: total magnetization 0.0 Bohr magnetons per cell. Number 3: total magnetization 3.1 Bohr magnetons per cell.